Below is a relaxed BaV2ZnO7 crystal, with properties calculated at the PBEsol level.

Unit cell a=15.181 b=5.415 c=7.335 alpha=90.00 beta=90.00 gamma=90.00
Space group Pnma (No. 62)
Asymmetric unit:
Ba: 0.214 0.250 0.152 (multiplicity 4)
V: 0.060 0.750 0.296 (multiplicity 4)
V: 0.136 0.250 0.674 (multiplicity 4)
Zn: 0.048 0.750 0.892 (multiplicity 4)
O: 0.033 0.250 0.554 (multiplicity 4)
O: 0.052 0.000 0.154 (multiplicity 8)
O: 0.141 0.504 0.810 (multiplicity 8)
O: 0.158 0.750 0.396 (multiplicity 4)
O: 0.224 0.250 0.537 (multiplicity 4)

## Properties
* formation energy from raw total energies: -2385 meV per atom
* polymorph energy (0 for the lowest one): 21 meV per atom
* magnetic moment: 0.00 Bohr magnetons per cell